Density functional theory data (PBE-GGA) for a relaxed structure of LiTlCo4.

```
LiTlCo4
1.0
0.3405 1.5515 4.6039
-2.2911 4.0724 1.3730
-3.8673 -0.2578 2.9489
Co Li Tl
4 1 1
Direct
0.3756 0.3756 0.3756
0.3756 0.3756 0.8733
0.3756 0.8733 0.3756
0.8733 0.3756 0.3756
0.7500 0.7500 0.7500
0.0000 0.0000 0.0000
```

Output
**SG**: F-43m (216)
**Raw total energy**: -31.4 eV for the cell shown